Record 1
Y2HoTl | PBE | relaxed

Geometry as CIF:
```
data_Y2HoTl
_chemical_formula_sum 'Y8 Ho4 Tl4'
_space_group_name_H-M_alt 'F m -3 m'
_space_group_IT_number 225
_space_group_name_Hall '-F 4 2 3'
_cell_length_a 7.739
_cell_length_b 7.739
_cell_length_c 7.739
_cell_angle_alpha 90.00
_cell_angle_beta 90.00
_cell_angle_gamma 90.00
loop_
_atom_site_label
_atom_site_fract_x
_atom_site_fract_y
_atom_site_fract_z
Y1 0.250 0.250 0.250
Ho1 0.000 0.000 0.000
Tl1 0.000 0.000 0.500
```

The value obtained for the density of states at the Fermi level is 20.54 states/eV/cell. The calculation puts the formation energy at -0.2 eV/f.u. The density comes out at 7.84 Mg/m³. The total magnetization comes out at 6.27 Bohr magnetons per cell. The value obtained for the energy above the most stable polymorph in this dataset is 0.156 eV per atom.


Record 2
Sn2SeN | PBE | relaxed

Geometry as CIF:
```
data_Sn2SeN
_chemical_formula_sum 'Sn8 Se4 N4'
_space_group_name_H-M_alt 'I -4 2 d'
_space_group_IT_number 122
_space_group_name_Hall 'I -4 2bw'
_cell_length_a 6.712
_cell_length_b 6.712
_cell_length_c 7.986
_cell_angle_alpha 90.00
_cell_angle_beta 90.00
_cell_angle_gamma 90.00
loop_
_atom_site_label
_atom_site_fract_x
_atom_site_fract_y
_atom_site_fract_z
Sn1 0.176 0.250 0.125
Se1 0.000 0.000 0.500
N1 0.000 0.000 0.000
```

The value obtained for the density of states at the Fermi level is 7.36 states/eV/cell. For the formation energy without anion corrections, the calculation gives 189.4 meV/atom. The density comes out at 6.10 Mg/m³. The total magnetization comes out at 0.00 Bohr magnetons per cell. The value obtained for the energy above the most stable polymorph in this dataset is 0.000 eV per atom.


Record 3
YTmFe10 | PBE | relaxed

Geometry as CIF:
```
data_YTmFe10
_chemical_formula_sum 'Y1 Tm1 Fe10'
_space_group_name_H-M_alt 'P m m m'
_space_group_IT_number 47
_cell_length_a 3.944
_cell_length_b 4.985
_cell_length_c 8.600
_cell_angle_alpha 90.00
_cell_angle_beta 90.00
_cell_angle_gamma 90.00
loop_
_space_group_symop_operation_xyz
'x,y,z'
'-x,-y,-z'
'-x,-y,z'
'x,y,-z'
'x,-y,-z'
'-x,y,z'
'-x,y,-z'
'x,-y,z'
loop_
_atom_site_label
_atom_site_fract_x
_atom_site_fract_y
_atom_site_fract_z
Y1 0.000 0.000 0.000
Tm1 0.000 0.500 0.500
Fe1 0.000 0.000 0.336
Fe2 0.000 0.500 0.168
Fe3 0.500 0.000 0.500
Fe4 0.500 0.251 0.252
Fe5 0.500 0.500 0.000
```

The value obtained for the density of states at the Fermi level is 10.63 states/eV/cell. The calculation puts the formation energy at -0.7 eV/f.u. The density comes out at 8.02 Mg/m³. The total magnetization comes out at 19.30 Bohr magnetons per cell.


Record 4
Ba2HgSe2 | PBE | relaxed

Geometry as CIF:
```
data_Ba2HgSe2
_chemical_formula_sum 'Ba4 Hg2 Se4'
_space_group_name_H-M_alt 'P 4/m b m'
_space_group_IT_number 127
_space_group_name_Hall '-P 4 2ab'
_cell_length_a 9.095
_cell_length_b 9.095
_cell_length_c 4.166
_cell_angle_alpha 90.00
_cell_angle_beta 90.00
_cell_angle_gamma 90.00
loop_
_atom_site_label
_atom_site_fract_x
_atom_site_fract_y
_atom_site_fract_z
Ba1 0.152 0.348 0.000
Hg1 0.000 0.000 0.500
Se1 0.148 0.648 0.500
```

The value obtained for the density of states at the Fermi level is 0.02 states/eV/cell. For the formation energy without anion corrections, the calculation gives -1461.6 meV/atom. The density comes out at 6.10 Mg/m³. The total magnetization comes out at 0.00 Bohr magnetons per cell. The value obtained for the energy above the most stable polymorph in this dataset is 0.001 eV per atom.


- Number 4 is which compound?
  Ba2HgSe2